No. 1
First-principles (PBE-GGA) data for crystalline Zn2TcOs at its relaxed geometry, as listed in OQMD via LeMat-Bulk.

Its density is 12.31 Mg/m³. Its total magnetic moment is 0.00 μB per atom. The calculation puts the volume at 57 Å³/f.u. The value obtained for the formation energy is 0.58 eV per formula unit. As for the final energy: -5.884 eV/atom.

The space group is F-43m (No. 216) and the conventional cell measures 6.092, 6.092 and 6.092 Å, with angles of 90.00, 90.00 and 90.00 degrees. The asymmetric unit holds Zn at (0.000, 0.000, 0.000), Zn at (0.250, 0.250, 0.250), Tc at (0.250, 0.250, 0.750) and Os at (0.000, 0.000, 0.500).



No. 2
First-principles (PBE-GGA) data for crystalline CoRe2Ge at its relaxed geometry, as listed in OQMD via LeMat-Bulk.

Its density is 15.22 Mg/m³. Its total magnetic moment is 0.47 μB per atom. The calculation puts the volume at 55 Å³/f.u. As for the final energy: -8.851 eV/atom.

The space group is F-43m (No. 216) and the conventional cell measures 6.037, 6.037 and 6.037 Å, with angles of 90.00, 90.00 and 90.00 degrees. The asymmetric unit holds Co at (0.000, 0.000, 0.000), Re at (0.000, 0.000, 0.500), Re at (0.250, 0.250, 0.250) and Ge at (0.250, 0.250, 0.750).



No. 3
First-principles (PBE-GGA) data for crystalline Tm2CIF at its relaxed geometry, as listed in OQMD via LeMat-Bulk.

Its density is 8.46 Mg/m³. Its total magnetic moment is 0.00 μB per atom. The calculation puts the volume at 97 Å³/f.u. As for the final energy: -5.988 eV/atom.

The space group is P3m1 (No. 156) and the conventional cell measures 3.6681, 3.6681 and 8.3524 Å, with angles of 90.00, 90.00 and 120.00 degrees. The asymmetric unit holds Tm at (0.0000, 0.0000, 0.0000), Tm at (0.3333, 0.6667, 0.3103), C at (0.6667, 0.3333, 0.1644), I at (0.0000, 0.0000, 0.5752) and F at (0.3333, 0.6667, 0.8911).



No. 4
First-principles (PBE-GGA) data for crystalline AcSiPt at its relaxed geometry, as listed in OQMD via LeMat-Bulk.

Its density is 9.72 Mg/m³. Its total magnetic moment is 0.02 μB per atom. The relative energy among the computed polymorphs is 710 meV per atom. The calculation puts the volume at 77 Å³/f.u. As for the final energy: -5.551 eV/atom.

The space group is F-43m (No. 216) and the conventional cell measures 6.750, 6.750 and 6.750 Å, with angles of 90.00, 90.00 and 90.00 degrees. The asymmetric unit holds Ac at (0.000, 0.000, 0.000), Si at (0.250, 0.250, 0.250) and Pt at (0.000, 0.000, 0.500).



No. 5
First-principles (PBE-GGA) data for crystalline BaNdPt at its relaxed geometry, as listed in OQMD via LeMat-Bulk.

Its density is 7.89 Mg/m³. Its total magnetic moment is 0.00 μB per atom. The relative energy among the computed polymorphs is 0 meV per atom. The calculation puts the volume at 100 Å³/f.u. As for the final energy: -4.730 eV/atom.

The space group is F-43m (No. 216) and the conventional cell measures 7.376, 7.376 and 7.376 Å, with angles of 90.00, 90.00 and 90.00 degrees. The asymmetric unit holds Ba at (0.000, 0.000, 0.000), Nd at (0.000, 0.000, 0.500) and Pt at (0.250, 0.250, 0.250).



No. 6
First-principles (PBE-GGA) data for crystalline Li2ZnSn at its relaxed geometry, as listed in OQMD via LeMat-Bulk.

Its density is 4.93 Mg/m³. The calculation puts the volume at 67 Å³/f.u. As for the final energy: -2.539 eV/atom.

The space group is Fm-3m (No. 225) and the conventional cell measures 6.439, 6.439 and 6.439 Å, with angles of 90.00, 90.00 and 90.00 degrees. The asymmetric unit holds Li at (0.250, 0.250, 0.250), Zn at (0.000, 0.000, 0.000) and Sn at (0.000, 0.000, 0.500).